# 1
# FeCuIr2, relaxed, DFT PBE
# E_form, eV/atom: 0.648
# Raw total energy, eV/cell: -110.8
# Magnetic moment, μB per formula unit: 0.00
data_FeCuIr2
_space_group_name_H-M_alt 'I -4 2 d'
_space_group_IT_number 122
_space_group_name_Hall 'I -4 2bw'
_cell_length_a 6.909
_cell_length_b 6.909
_cell_length_c 4.947
_cell_angle_alpha 90.00
_cell_angle_beta 90.00
_cell_angle_gamma 90.00
loop_
_atom_site_label
_atom_site_type_symbol
_atom_site_fract_x
_atom_site_fract_y
_atom_site_fract_z
_atom_site_occupancy
Fe1 Fe 0.000 0.000 0.000 1
Cu1 Cu 0.000 0.000 0.500 1
Ir1 Ir 0.200 0.750 0.125 1

# 2
# FeCuIr, relaxed, DFT PBE
# E_form, eV/atom: 0.061
# Raw total energy, eV/cell: -21.2
# Magnetic moment, μB per formula unit: 2.74
data_FeCuIr
_space_group_name_H-M_alt 'P 3 m 1'
_space_group_IT_number 156
_cell_length_a 2.6712
_cell_length_b 2.6712
_cell_length_c 6.3623
_cell_angle_alpha 90.00
_cell_angle_beta 90.00
_cell_angle_gamma 120.00
loop_
_space_group_symop_operation_xyz
'x,y,z'
'-y,x-y,z'
'-x+y,-x,z'
'-y,-x,z'
'-x+y,y,z'
'x,x-y,z'
loop_
_atom_site_label
_atom_site_type_symbol
_atom_site_fract_x
_atom_site_fract_y
_atom_site_fract_z
_atom_site_occupancy
Fe1 Fe 0.0000 0.0000 0.0000 1
Cu1 Cu 0.3333 0.6667 0.6754 1
Ir1 Ir 0.6667 0.3333 0.3263 1